*1*
Material: LaMgSc
Method: DFT, GGA-PBE
State: optimized geometry

Cell lengths 5.4499, 5.4499, 20.8469 Å; angles 90.00, 90.00, 120.00 degrees
Space group R-3m (No. 166, hexagonal axes)
Inequivalent atoms, fractional coordinates:
La: 0.0000 0.0000 0.1163
Mg: 0.0000 0.0000 0.4326
Sc: 0.0000 0.0000 0.2915



*2*
Material: LaMgSc
Method: DFT, GGA-PBE
State: optimized geometry

Cell lengths 3.451, 5.344, 9.337 Å; angles 90.00, 90.01, 90.00 degrees
Space group P2_1/m (No. 11)
Inequivalent atoms, fractional coordinates:
La: 0.249 0.250 0.118
Mg: 0.252 0.250 0.734
Sc: 0.250 0.750 0.551



The structure with the least stability is *1*.